# Na5InAu2 | the Alexandria database | PBE | optimized geometry
data_Na5InAu2
_chemical_formula_sum 'Na10 In2 Au4'
_space_group_name_H-M_alt 'I m m m'
_space_group_IT_number 71
_space_group_name_Hall '-I 2 2'
_cell_length_a 4.9611
_cell_length_b 9.1635
_cell_length_c 9.2652
_cell_angle_alpha 90.00
_cell_angle_beta 90.00
_cell_angle_gamma 90.00
loop_
_atom_site_label
_atom_site_type_symbol
_atom_site_fract_x
_atom_site_fract_y
_atom_site_fract_z
_atom_site_occupancy
Na1 Na 0.0000 0.0000 0.0000 1
Na2 Na 0.0000 0.3128 0.3250 1
In1 In 0.0000 0.0000 0.5000 1
Au1 Au 0.0000 0.3321 0.0000 1
# Relative energy among the computed polymorphs: 19.4 meV per atom
# Crystal system: orthorhombic
# VASP energy: -2.15 eV/atom
# ΔH_f (0 K): -0.167 eV per atom

***

# DyY9Er2 | the Alexandria database | PBE | optimized geometry
data_DyY9Er2
_chemical_formula_sum 'Dy1 Y9 Er2'
_space_group_name_H-M_alt 'P 4/m m m'
_space_group_IT_number 123
_space_group_name_Hall '-P 4 2'
_cell_length_a 5.0335
_cell_length_b 5.0335
_cell_length_c 15.1018
_cell_angle_alpha 90.00
_cell_angle_beta 90.00
_cell_angle_gamma 90.00
loop_
_atom_site_label
_atom_site_type_symbol
_atom_site_fract_x
_atom_site_fract_y
_atom_site_fract_z
_atom_site_occupancy
Dy1 Dy 0.0000 0.0000 0.0000 1
Y1 Y 0.0000 0.5000 0.1672 1
Y2 Y 0.0000 0.5000 0.5000 1
Y3 Y 0.5000 0.5000 0.0000 1
Y4 Y 0.5000 0.5000 0.3338 1
Er1 Er 0.0000 0.0000 0.3336 1
# Crystal system: tetragonal
# VASP energy: -5.97 eV/atom
# ΔH_f (0 K): 0.026 eV per atom

***

> What is the formula in the first record?

Na5InAu2